Be2MoAu: single point on PBEsol structure, meta-GGA SCAN.

crystal system = monoclinic
formation energy from the elements = 19 meV per atom
calculated density = 10.6 g/cm³
DOS(E_F) = 2.09 states/eV/f.u.

```
data_Be2MoAu
_cell_length_a 9.0844
_cell_length_b 2.5955
_cell_length_c 4.3559
_cell_angle_alpha 90.00
_cell_angle_beta 107.87
_cell_angle_gamma 90.00
_symmetry_space_group_name_H-M 'C 1 m 1'
_symmetry_Int_Tables_number 8
_symmetry_space_group_name_Hall 'C -2y'
loop_
_atom_site_label
_atom_site_fract_x
_atom_site_fract_y
_atom_site_fract_z
Be1 0.0000 0.0000 0.0000
Be2 0.2069 0.5000 0.3237
Mo1 0.4627 0.0000 0.4651
Au1 0.2445 0.0000 0.8476
```